# 1
Below is HfCrFeF2 after structural relaxation, with properties calculated at the GGA+U level.

Cell: 3.900 3.900 7.099 Å, 90.00 90.00 90.00°
Element x y z (fractional)
Hf1 0.000 0.000 0.000
Cr1 0.500 0.500 0.000
Fe1 0.000 0.000 0.500
F1 0.000 0.500 0.500
F2 0.500 0.000 0.500

Properties
Magnetic moment, μB per cell: 8.045
Space-group type: P4/mmm
DFT total energy, eV/atom: -5.7656



# 2
Below is LiFe5O8 after structural relaxation, with properties calculated at the GGA+U level.

Cell: 5.825 5.825 5.825 Å, 60.00 60.00 60.00°
Element x y z (fractional)
Li1 0.000 0.000 0.000
Fe1 0.116 0.628 0.628
Fe2 0.250 0.250 0.250
Fe3 0.628 0.116 0.628
Fe4 0.628 0.628 0.116
Fe5 0.628 0.628 0.628
O1 0.385 0.385 0.385
O2 0.385 0.385 0.846
O3 0.385 0.846 0.385
O4 0.413 0.862 0.862
O5 0.846 0.385 0.385
O6 0.862 0.413 0.862
O7 0.862 0.862 0.413
O8 0.862 0.862 0.862

Properties
Magnetic moment, μB per cell: 9.000
Polymorph energy (0 for the lowest one), kJ per mole of atoms: 25.8
Space-group type: F-43m